[1]
# Pm6BiAs3P2 PBE relaxed
data_Pm6BiAs3P2
_chemical_formula_sum 'Pm12 Bi2 As6 P4'
_cell_length_a 18.547
_cell_length_b 4.250
_cell_length_c 8.550
_cell_angle_alpha 90.00
_cell_angle_beta 103.01
_cell_angle_gamma 90.00
_space_group_name_H-M_alt 'C 1 2/m 1'
_space_group_IT_number 12
loop_
_space_group_symop_operation_xyz
'x,y,z'
'-x,-y,-z'
'-x,y,-z'
'x,-y,z'
'x+1/2,y+1/2,z'
'-x+1/2,-y+1/2,-z'
'-x+1/2,y+1/2,-z'
'x+1/2,-y+1/2,z'
loop_
_atom_site_label
_atom_site_type_symbol
_atom_site_fract_x
_atom_site_fract_y
_atom_site_fract_z
Pm1 Pm 0.004 0.000 0.268
Pm2 Pm 0.169 0.500 0.580
Pm3 Pm 0.174 0.500 0.094
Bi1 Bi 0.000 0.500 0.000
As1 As 0.000 0.500 0.500
As2 As 0.164 0.000 0.832
P1 P 0.168 0.000 0.336
# Crystal system: monoclinic
# Energy of formation from the pure elements: -1.41 eV per atom

[2]
# SrTaB2 PBE relaxed
data_SrTaB2
_chemical_formula_sum 'Sr4 Ta4 B8'
_cell_length_a 6.251
_cell_length_b 6.251
_cell_length_c 6.251
_cell_angle_alpha 90.00
_cell_angle_beta 90.00
_cell_angle_gamma 90.00
_space_group_name_H-M_alt 'F m -3 m'
_space_group_IT_number 225
_space_group_name_Hall '-F 4 2 3'
loop_
_atom_site_label
_atom_site_type_symbol
_atom_site_fract_x
_atom_site_fract_y
_atom_site_fract_z
Sr1 Sr 0.000 0.000 0.000
Ta1 Ta 0.000 0.000 0.500
B1 B 0.250 0.250 0.250
# Crystal system: cubic
# Energy of formation from the pure elements: 1.17 eV per atom
# ΔE to the lowest computed polymorph: 38.2 kJ per mole of atoms